Entry from the Alexandria database: crystalline NdCu13 at its relaxed geometry (PBE).

Geometry as extended XYZ:
```
28
Lattice="0.000 5.785 5.785 5.785 0.000 5.785 5.785 5.785 0.000" Properties=species:S:1:pos:R:3 pbc="T T T"
Nd 2.893 2.893 2.893
Nd 8.678 8.678 8.678
Cu 0.000 0.000 0.000
Cu 5.785 4.430 2.083
Cu 9.487 5.785 4.430
Cu 7.141 2.083 5.785
Cu 7.141 5.785 3.702
Cu 5.785 3.702 4.430
Cu 7.869 4.430 5.785
Cu 5.785 7.141 2.083
Cu 4.430 2.083 5.785
Cu 9.487 5.785 7.141
Cu 4.430 5.785 3.702
Cu 7.869 7.141 5.785
Cu 5.785 3.702 7.141
Cu 5.785 5.785 5.785
Cu 5.785 7.869 4.430
Cu 3.702 4.430 5.785
Cu 7.141 5.785 7.869
Cu 2.083 5.785 4.430
Cu 7.141 9.487 5.785
Cu 5.785 4.430 9.487
Cu 3.702 7.141 5.785
Cu 5.785 7.869 7.141
Cu 4.430 5.785 7.869
Cu 4.430 9.487 5.785
Cu 2.083 5.785 7.141
Cu 5.785 7.141 9.487
```

Results
Its space group is Fm-3c (226). Its total DFT energy (no corrections) is -117.589 eV per cell. Its volume is 193.64 Å³/f.u. As for the crystal system: cubic. Its energy relative to the elements is -0.06 eV per atom. The density of states at the Fermi level is 5.4 states/eV/f.u.

=====

Entry from the Alexandria database: crystalline Ba2C at its relaxed geometry (PBE).

Geometry as extended XYZ:
```
12
Lattice="7.302 0.000 0.000 0.000 7.302 0.000 0.000 0.000 7.302" Properties=species:S:1:pos:R:3 pbc="T T T"
Ba 1.274 1.274 1.274
Ba 1.274 2.377 4.925
Ba 2.377 4.925 1.274
Ba 2.377 6.028 4.925
Ba 4.925 1.274 2.377
Ba 4.925 2.377 6.028
Ba 6.028 4.925 2.377
Ba 6.028 6.028 6.028
C 0.000 0.000 3.651
C 0.000 3.651 0.000
C 3.651 0.000 0.000
C 3.651 3.651 3.651
```

Results
Its space group is Pa-3 (205). Its total DFT energy (no corrections) is -43.373 eV per cell. For the energy above the lowest structure with this stoichiometry, the calculation gives 58.4 kJ/mol of atoms. Its volume is 97.35 Å³/f.u. As for the crystal system: cubic. Its energy relative to the elements is 0.74 eV per atom. The density of states at the Fermi level is 1.6 states/eV/f.u.